(1)
## LiAc2Be3Pt4 (GGA-PBE)

Data for a geometry-optimized LiAc2Be3Pt4 structure.

Total moment (μB per atom): 0.0000
E_form (meV/atom): -792.0

Cell lengths 4.150, 4.150, 10.360 Å; angles 90.00, 90.00, 90.00 degrees
Fractional coordinates of all 10 atoms:
Li  0.000  0.000  0.000
Ac  0.000  0.500  0.750
Ac  0.500  0.000  0.250
Be  0.000  0.500  0.391
Be  0.500  0.000  0.609
Be  0.500  0.500  0.000
Pt  0.000  0.000  0.500
Pt  0.000  0.500  0.141
Pt  0.500  0.000  0.859
Pt  0.500  0.500  0.500

(2)
## LiAcBe2Si2 (GGA-PBE)

Data for a geometry-optimized LiAcBe2Si2 structure.

Total moment (μB per atom): 0.0000
Formation energy (no corrections) (kJ per mole of atoms): -28.6

Cell lengths 4.037, 4.037, 7.197 Å; angles 90.00, 90.00, 120.00 degrees
Fractional coordinates of all 6 atoms:
Li  0.000  0.000  0.000
Ac  0.000  0.000  0.500
Be  0.333  0.667  0.162
Be  0.667  0.333  0.838
Si  0.333  0.667  0.802
Si  0.667  0.333  0.198